No. 1
The following is a DFT calculation (PBE) of a geometry-optimized PuCdInSn structure.

Properties
- Energy of formation: -0.243 eV/atom
- ΔE to the lowest computed polymorph: 0 meV per atom
- Total moment: 1.4220 μB/atom

Cell lengths 4.599, 4.498, 4.850 Å; angles 90.00, 90.00, 90.00 degrees
Fractional coordinates of all 4 atoms:
Cd  0.500  0.000  0.500
Pu  0.000  0.000  0.000
In  0.000  0.500  0.500
Sn  0.500  0.500  0.000

No. 2
The following is a DFT calculation (PBE) of a geometry-optimized DyTm3Ru3 structure.

Properties
- Energy of formation: -0.402 eV/atom
- ΔE to the lowest computed polymorph: 22 meV per atom
- Total moment: 0.0000 μB/atom

Cell lengths 6.755, 6.755, 6.677 Å; angles 90.05, 90.05, 90.69 degrees
Fractional coordinates of all 14 atoms:
Dy  0.748  0.748  0.000
Dy  0.252  0.252  0.000
Tm  0.245  0.245  0.500
Tm  0.761  0.239  0.000
Tm  0.755  0.245  0.500
Tm  0.755  0.755  0.500
Tm  0.245  0.755  0.500
Tm  0.239  0.761  0.000
Ru  0.000  0.500  0.251
Ru  0.000  0.500  0.749
Ru  0.500  0.000  0.251
Ru  0.500  0.000  0.749
Ru  0.000  0.000  0.749
Ru  0.000  0.000  0.251

No. 3
The following is a DFT calculation (PBE) of a geometry-optimized Zn2CrIn structure.

Properties
- Energy of formation: 0.236 eV/atom
- Total moment: 0.9258 μB/atom

Cell lengths 4.275, 3.022, 5.572 Å; angles 74.33, 90.00, 90.00 degrees
Fractional coordinates of all 4 atoms:
In  0.500  0.804  0.767
Zn  0.000  0.184  0.009
Zn  0.500  0.055  0.265
Cr  0.000  0.458  0.459

No. 4
The following is a DFT calculation (PBE) of a geometry-optimized CrInB2Pb structure.

Properties
- Energy of formation: 2.059 eV/atom
- Total moment: 0.0780 μB/atom

Cell lengths 4.353, 5.267, 4.353 Å; angles 90.00, 90.00, 90.00 degrees
Fractional coordinates of all 5 atoms:
B  0.500  0.000  0.000
B  0.000  0.000  0.500
Pb  0.500  0.500  0.500
Cr  0.000  0.500  0.000
In  0.000  0.000  0.000

No. 5
The following is a DFT calculation (PBE) of a geometry-optimized LaGaCu2Au4 structure.

Properties
- Energy of formation: -0.312 eV/atom
- Total moment: 0.0000 μB/atom

Cell lengths 4.458, 4.458, 9.326 Å; angles 76.17, 76.17, 60.00 degrees
Fractional coordinates of all 8 atoms:
Au  0.600  0.600  0.200
Au  0.870  0.870  0.391
Au  0.130  0.130  0.609
Au  0.400  0.400  0.800
Cu  0.238  0.238  0.285
Cu  0.762  0.762  0.715
La  0.000  0.000  0.000
Ga  0.500  0.500  0.500

No. 6
The following is a DFT calculation (PBE) of a geometry-optimized Na8Ga2O7 structure.

Properties
- Formation energy without anion corrections: -1589 meV/atom
- Total moment: 0.0049 μB/atom

Cell lengths 8.737, 10.142, 11.090 Å; angles 90.00, 90.00, 107.57 degrees
Fractional coordinates of all 68 atoms:
Na  0.430  0.357  0.971
Na  0.881  0.075  0.475
Na  0.917  0.856  0.039
Na  0.341  0.519  0.497
Na  0.501  0.627  0.269
Na  0.257  0.212  0.446
Na  0.743  0.788  0.554
Na  0.286  0.070  0.749
Na  0.499  0.873  0.769
Na  0.119  0.425  0.975
Na  0.083  0.644  0.539
Na  0.499  0.373  0.731
Na  0.659  0.481  0.503
Na  0.893  0.467  0.740
Na  0.501  0.127  0.231
Na  0.341  0.019  0.003
Na  0.917  0.356  0.461
Na  0.286  0.570  0.751
Na  0.430  0.857  0.529
Na  0.893  0.967  0.760
Na  0.257  0.712  0.054
Na  0.714  0.430  0.249
Na  0.743  0.288  0.946
Na  0.659  0.981  0.997
Na  0.083  0.144  0.961
Na  0.570  0.143  0.471
Na  0.107  0.033  0.240
Na  0.714  0.930  0.251
Na  0.119  0.925  0.525
Na  0.570  0.643  0.029
Na  0.881  0.575  0.025
Na  0.107  0.533  0.260
O  0.896  0.216  0.796
O  0.104  0.123  0.610
O  0.104  0.623  0.890
O  0.324  0.701  0.382
O  0.104  0.284  0.296
O  0.329  0.503  0.116
O  0.752  0.183  0.324
O  0.896  0.377  0.110
O  0.752  0.683  0.176
O  0.676  0.299  0.618
O  0.894  0.067  0.111
O  0.329  0.003  0.384
O  0.545  0.606  0.652
O  0.894  0.567  0.389
O  0.455  0.894  0.152
O  0.671  0.497  0.884
O  0.106  0.933  0.889
O  0.106  0.433  0.611
O  0.545  0.106  0.848
O  0.455  0.394  0.348
O  0.896  0.877  0.390
O  0.676  0.799  0.882
O  0.248  0.817  0.676
O  0.896  0.716  0.704
O  0.248  0.317  0.824
O  0.671  0.997  0.616
O  0.324  0.201  0.118
O  0.104  0.784  0.204
Ga  0.691  0.153  0.715
Ga  0.093  0.774  0.798
Ga  0.907  0.226  0.202
Ga  0.309  0.847  0.285
Ga  0.309  0.347  0.215
Ga  0.691  0.653  0.785
Ga  0.093  0.274  0.702
Ga  0.907  0.726  0.298

No. 7
The following is a DFT calculation (PBE) of a geometry-optimized ErMgZnRh structure.

Properties
- Energy of formation: -0.476 eV/atom
- Total moment: 0.0000 μB/atom

Cell lengths 4.721, 4.721, 4.721 Å; angles 60.00, 60.00, 60.00 degrees
Fractional coordinates of all 4 atoms:
Mg  0.250  0.250  0.250
Rh  0.500  0.500  0.500
Zn  0.000  0.000  0.000
Er  0.750  0.750  0.750

No. 8
The following is a DFT calculation (PBE) of a geometry-optimized Cs2KPaF8 structure.

Properties
- Formation energy without anion corrections: -3401 meV/atom
- Total moment: 0.0000 μB/atom

Cell lengths 6.501, 6.501, 7.630 Å; angles 115.21, 115.21, 90.00 degrees
Fractional coordinates of all 12 atoms:
F  0.941  0.838  0.288
F  0.550  0.654  0.712
F  0.346  0.838  0.288
F  0.550  0.059  0.712
F  0.162  0.059  0.712
F  0.162  0.654  0.712
F  0.941  0.450  0.288
F  0.346  0.450  0.288
Cs  0.750  0.250  0.500
Cs  0.000  0.000  0.000
Pa  0.250  0.750  0.500
K  0.500  0.500  0.000

No. 9
The following is a DFT calculation (PBE) of a geometry-optimized Ac5La3Te8 structure.

Properties
- Formation energy without anion corrections: -1527 meV/atom
- Total moment: 0.0001 μB/atom

Cell lengths 9.352, 9.352, 9.362 Å; angles 60.04, 60.04, 60.00 degrees
Fractional coordinates of all 16 atoms:
Ac  0.500  0.500  0.500
Ac  0.000  0.500  0.000
Ac  0.000  0.000  0.000
Ac  0.500  0.000  0.000
Ac  0.500  0.500  0.000
Te  0.250  0.757  0.743
Te  0.750  0.750  0.257
Te  0.250  0.250  0.743
Te  0.247  0.247  0.260
Te  0.750  0.243  0.257
Te  0.753  0.753  0.740
Te  0.243  0.750  0.257
Te  0.757  0.250  0.743
La  0.000  0.500  0.500
La  0.500  0.000  0.500
La  0.000  0.000  0.500

No. 10
The following is a DFT calculation (PBE) of a geometry-optimized RbVSbSe3 structure.

Properties
- Formation energy without anion corrections: -570 meV/atom
- Total moment: 0.0000 μB/atom

Cell lengths 3.940, 9.990, 9.938 Å; angles 109.15, 90.00, 90.00 degrees
Fractional coordinates of all 12 atoms:
Rb  0.750  0.813  0.782
Rb  0.250  0.187  0.218
Se  0.250  0.555  0.856
Se  0.750  0.445  0.144
Se  0.750  0.192  0.511
Se  0.750  0.875  0.158
Se  0.250  0.125  0.842
Se  0.250  0.808  0.489
Sb  0.250  0.657  0.147
Sb  0.750  0.343  0.853
V  0.750  0.933  0.421
V  0.250  0.067  0.579

No. 11
The following is a DFT calculation (PBE) of a geometry-optimized HgSb2Pb8 structure.

Properties
- Formation energy without anion corrections: 83 meV/atom
- ΔE to the lowest computed polymorph: 3 meV per atom
- Total moment: 0.0000 μB/atom

Cell lengths 6.205, 8.141, 8.141 Å; angles 106.22, 104.23, 104.23 degrees
Fractional coordinates of all 11 atoms:
Pb  0.561  0.319  0.050
Pb  0.000  0.745  0.248
Pb  0.561  0.050  0.319
Pb  0.079  0.342  0.342
Pb  0.439  0.942  0.674
Pb  0.439  0.674  0.942
Pb  0.000  0.248  0.745
Pb  0.920  0.655  0.655
Hg  0.000  0.998  0.998
Sb  0.500  0.654  0.339
Sb  0.500  0.339  0.654

No. 12
The following is a DFT calculation (PBE) of a geometry-optimized Mg5Co structure.

Properties
- Energy of formation: 0.060 eV/atom
- ΔE to the lowest computed polymorph: 4 meV per atom
- Total moment: 0.0000 μB/atom

Cell lengths 3.196, 3.196, 11.394 Å; angles 90.00, 90.00, 90.00 degrees
Fractional coordinates of all 6 atoms:
Mg  0.500  0.500  0.523
Mg  0.000  0.000  0.956
Mg  0.000  0.000  0.333
Mg  0.500  0.500  0.144
Mg  0.000  0.000  0.711
Co  0.500  0.500  0.833

No. 13
The following is a DFT calculation (PBE) of a geometry-optimized NpReMo2 structure.

Properties
- Energy of formation: 0.309 eV/atom
- Total moment: 0.6681 μB/atom

Cell lengths 3.141, 3.141, 7.010 Å; angles 90.00, 90.00, 90.00 degrees
Fractional coordinates of all 4 atoms:
Np  0.500  0.500  0.500
Mo  0.000  0.000  0.224
Mo  0.000  0.000  0.776
Re  0.500  0.500  0.000

No. 14
The following is a DFT calculation (PBE) of a geometry-optimized GeBrN2O structure.

Properties
- Formation energy without anion corrections: 1174 meV/atom
- Total moment: 0.1218 μB/atom

Cell lengths 4.022, 4.022, 3.611 Å; angles 90.00, 90.00, 90.00 degrees
Fractional coordinates of all 5 atoms:
Br  0.500  0.500  0.500
O  0.000  0.000  0.500
N  0.500  0.000  0.000
N  0.000  0.500  0.000
Ge  0.000  0.000  0.000

No. 15
The following is a DFT calculation (PBE) of a geometry-optimized Rb2NpN3 structure.

Properties
- Formation energy without anion corrections: -263 meV/atom
- Total moment: 0.0396 μB/atom

Cell lengths 7.260, 7.382, 6.901 Å; angles 79.44, 68.12, 60.54 degrees
Fractional coordinates of all 12 atoms:
Rb  0.464  0.572  0.250
Rb  0.793  0.914  0.250
Rb  0.207  0.086  0.750
Rb  0.536  0.428  0.750
N  0.000  0.500  0.000
N  0.863  0.241  0.341
N  0.000  0.500  0.500
N  0.604  0.759  0.841
N  0.396  0.241  0.159
N  0.137  0.759  0.659
Np  0.900  0.700  0.750
Np  0.100  0.300  0.250

No. 16
The following is a DFT calculation (PBE) of a geometry-optimized HfMn3Bi structure.

Properties
- Energy of formation: 1.341 eV/atom
- ΔE to the lowest computed polymorph: 170 meV per atom
- Total moment: 1.7324 μB/atom

Cell lengths 4.917, 4.917, 4.917 Å; angles 90.00, 90.00, 90.00 degrees
Fractional coordinates of all 5 atoms:
Bi  0.000  0.000  0.000
Mn  0.500  0.000  0.000
Mn  0.000  0.500  0.000
Mn  0.000  0.000  0.500
Hf  0.500  0.500  0.500

No. 17
The following is a DFT calculation (PBE) of a geometry-optimized CeNpSe structure.

Properties
- Formation energy without anion corrections: -701 meV/atom
- Total moment: 0.9848 μB/atom

Cell lengths 3.734, 3.734, 11.077 Å; angles 90.00, 90.00, 120.00 degrees
Fractional coordinates of all 6 atoms:
Np  0.833  0.167  0.484
Np  0.167  0.833  0.984
Se  0.500  0.500  0.654
Se  0.500  0.500  0.154
Ce  0.833  0.167  0.850
Ce  0.167  0.833  0.350

No. 18
The following is a DFT calculation (PBE) of a geometry-optimized CaEuIn4 structure.

Properties
- Energy of formation: -0.385 eV/atom
- Total moment: 1.2508 μB/atom

Cell lengths 6.180, 6.180, 6.180 Å; angles 60.00, 60.00, 60.00 degrees
Fractional coordinates of all 6 atoms:
In  0.625  0.625  0.625
In  0.625  0.125  0.625
In  0.625  0.625  0.125
In  0.125  0.625  0.625
Ca  0.250  0.250  0.250
Eu  0.000  0.000  0.000

No. 19
The following is a DFT calculation (PBE) of a geometry-optimized ZrTc2OsRu structure.

Properties
- Energy of formation: 1.500 eV/atom
- Total moment: 0.3257 μB/atom

Cell lengths 4.622, 4.963, 4.622 Å; angles 90.00, 90.00, 90.00 degrees
Fractional coordinates of all 5 atoms:
Os  0.000  0.000  0.000
Zr  0.000  0.500  0.000
Ru  0.500  0.500  0.500
Tc  0.000  0.000  0.500
Tc  0.500  0.000  0.000

No. 20
The following is a DFT calculation (PBE) of a geometry-optimized SrP2Pd structure.

Properties
- Energy of formation: -0.725 eV/atom
- Total moment: 0.0000 μB/atom

Cell lengths 4.309, 4.721, 4.721 Å; angles 108.48, 90.00, 90.00 degrees
Fractional coordinates of all 4 atoms:
Sr  0.000  0.979  0.021
Pd  0.500  0.410  0.590
P  0.500  0.501  0.110
P  0.500  0.890  0.499

Number 1: N(E_F) 11.604 states/eV/f.u.. Number 2: N(E_F) 3.784 states/eV/f.u.. Number 3: N(E_F) 1.636 states/eV/f.u.. Number 4: N(E_F) 6.681 states/eV/f.u.. Number 5: N(E_F) 3.917 states/eV/f.u.. Number 6: N(E_F) 0.000 states/eV/f.u.. Number 7: N(E_F) 2.221 states/eV/f.u.. Number 8: N(E_F) 0.000 states/eV/f.u.. Number 9: N(E_F) 12.033 states/eV/f.u.. Number 10: N(E_F) 3.658 states/eV/f.u.. Number 11: N(E_F) 5.090 states/eV/f.u.. Number 12: N(E_F) 2.099 states/eV/f.u.. Number 13: N(E_F) 6.227 states/eV/f.u.. Number 14: N(E_F) 3.481 states/eV/f.u.. Number 15: N(E_F) 1.953 states/eV/f.u.. Number 16: N(E_F) 2.729 states/eV/f.u.. Number 17: N(E_F) 4.193 states/eV/f.u.. Number 18: N(E_F) 9.907 states/eV/f.u.. Number 19: N(E_F) 6.120 states/eV/f.u.. Number 20: N(E_F) 2.277 states/eV/f.u..